(1)
The following is a DFT calculation (GGA-PBE) of an optimized crystal structure of BeAgSN2.

Cell lengths 3.4725, 3.4725, 5.6605 Å; angles 90.00, 90.00, 90.00 degrees
Closest atoms and distances in Å follow each position.
Positions (direct):
Be 0.0000 0.0000 0.0000  4 N 1.74
S 0.0000 0.0000 0.5000  4 Ag 2.46
Ag 0.5000 0.5000 0.5000  4 S 2.46
N 0.0000 0.5000 0.0000  2 Be 1.74
N 0.5000 0.0000 0.0000  2 Be 1.74

Results
E_tot   -4.347 eV/atom
ΔE_f (raw)   1.12 eV per atom
Mass density   4.3 g cm⁻³
Energy relative to the lowest polymorph listed for this composition   0 meV per atom
Magnetic moment   2.3 μB/f.u.

---

(2)
The following is a DFT calculation (GGA-PBE) of an optimized crystal structure of BeAgSN2.

Cell lengths 3.9244, 3.9244, 5.5371 Å; angles 90.00, 90.00, 90.00 degrees
Closest atoms and distances in Å follow each position.
Positions (direct):
Be 0.5000 0.5000 0.5000  4 S 2.77
S 0.0000 0.0000 0.5000  2 Ag 2.77, 4 Be 2.77
Ag 0.0000 0.0000 0.0000  4 N 1.96
N 0.0000 0.5000 0.0000  2 Ag 1.96
N 0.5000 0.0000 0.0000  2 Ag 1.96

Results
E_tot   -3.410 eV/atom
ΔE_f (raw)   2.06 eV per atom
Mass density   3.4 g cm⁻³
Energy relative to the lowest polymorph listed for this composition   938 meV per atom
Magnetic moment   3.1 μB/f.u.

---

(3)
The following is a DFT calculation (GGA-PBE) of an optimized crystal structure of ScBe2AgN.

Cell lengths 4.1493, 4.4721, 4.1493 Å; angles 90.00, 90.00, 90.00 degrees
Closest atoms and distances in Å follow each position.
Positions (direct):
Sc 0.5000 0.5000 0.5000  4 N 2.93, 8 Be 3.05
Be 0.0000 0.0000 0.5000  2 Ag 2.07
Be 0.5000 0.0000 0.0000  2 Ag 2.07
Ag 0.0000 0.0000 0.0000  4 Be 2.07, 2 N 2.24
N 0.0000 0.5000 0.0000  2 Ag 2.24

Results
E_tot   -3.943 eV/atom
ΔE_f (raw)   1.05 eV per atom
Mass density   4.0 g cm⁻³
Energy relative to the lowest polymorph listed for this composition   0 meV per atom
Magnetic moment   0.0 μB/f.u.

---

(4)
The following is a DFT calculation (GGA-PBE) of an optimized crystal structure of ScBe2AgN.

Cell lengths 4.0678, 5.3627, 4.0678 Å; angles 90.00, 90.00, 90.00 degrees
Closest atoms and distances in Å follow each position.
Positions (direct):
Sc 0.0000 0.5000 0.0000  2 Ag 2.68, 4 N 2.88
Be 0.0000 0.0000 0.5000  2 Ag 2.03
Be 0.5000 0.0000 0.0000  2 Ag 2.03
Ag 0.0000 0.0000 0.0000  4 Be 2.03
N 0.5000 0.5000 0.5000  4 Sc 2.88

Results
E_tot   -3.723 eV/atom
ΔE_f (raw)   1.27 eV per atom
Mass density   3.5 g cm⁻³
Energy relative to the lowest polymorph listed for this composition   220 meV per atom
Magnetic moment   0.0 μB/f.u.

---

(5)
The following is a DFT calculation (GGA-PBE) of an optimized crystal structure of TaBe2AgN.

Cell lengths 3.8451, 4.1011, 3.8451 Å; angles 90.00, 90.00, 90.00 degrees
Closest atoms and distances in Å follow each position.
Positions (direct):
Be 0.0000 0.0000 0.5000  2 N 1.92
Be 0.5000 0.0000 0.0000  2 N 1.92
N 0.0000 0.0000 0.0000  4 Be 1.92, 2 Ta 2.05
Ag 0.5000 0.5000 0.5000  4 Ta 2.72, 8 Be 2.81
Ta 0.0000 0.5000 0.0000  2 N 2.05

Results
E_tot   -6.057 eV/atom
ΔE_f (raw)   0.04 eV per atom
Mass density   8.8 g cm⁻³
Magnetic moment   0.0 μB/f.u.

---

(6)
The following is a DFT calculation (GGA-PBE) of an optimized crystal structure of BeAgTe2N.

Cell lengths 5.5660, 5.5660, 3.8732 Å; angles 90.00, 90.00, 90.00 degrees
Closest atoms and distances in Å follow each position.
Positions (direct):
Be 0.5000 0.5000 0.5000  8 Te 3.39
Te 0.0000 0.5000 0.0000  2 Ag 2.78
Te 0.5000 0.0000 0.0000  2 Ag 2.78
Ag 0.0000 0.0000 0.0000  2 N 1.94
N 0.0000 0.0000 0.5000  2 Ag 1.94

Results
E_tot   -2.796 eV/atom
ΔE_f (raw)   1.44 eV per atom
Mass density   5.3 g cm⁻³
Energy relative to the lowest polymorph listed for this composition   1114 meV per atom
Magnetic moment   1.2 μB/f.u.

---

(7)
The following is a DFT calculation (GGA-PBE) of an optimized crystal structure of BeAgTeN2.

Cell lengths 3.9966, 3.9966, 6.5253 Å; angles 90.00, 90.00, 90.00 degrees
Closest atoms and distances in Å follow each position.
Positions (direct):
Be 0.5000 0.5000 0.5000  4 Te 2.83
Te 0.0000 0.0000 0.5000  4 Be 2.83
Ag 0.0000 0.0000 0.0000  4 N 2.00
N 0.0000 0.5000 0.0000  2 Ag 2.00
N 0.5000 0.0000 0.0000  2 Ag 2.00

Results
E_tot   -3.355 eV/atom
ΔE_f (raw)   1.92 eV per atom
Mass density   4.3 g cm⁻³
Energy relative to the lowest polymorph listed for this composition   607 meV per atom
Magnetic moment   3.6 μB/f.u.

---

(8)
The following is a DFT calculation (GGA-PBE) of an optimized crystal structure of BeAgTe2N.

Cell lengths 5.5964, 5.5964, 3.0884 Å; angles 90.00, 90.00, 90.00 degrees
Closest atoms and distances in Å follow each position.
Positions (direct):
Be 0.0000 0.0000 0.0000  2 N 1.54
Te 0.0000 0.5000 0.0000  2 Be 2.80, 2 Te 3.09
Te 0.5000 0.0000 0.0000  2 Be 2.80, 2 Te 3.09
Ag 0.5000 0.5000 0.5000  2 Ag 3.09, 8 Te 3.20
N 0.0000 0.0000 0.5000  2 Be 1.54

Results
E_tot   -3.909 eV/atom
ΔE_f (raw)   0.33 eV per atom
Mass density   6.6 g cm⁻³
Energy relative to the lowest polymorph listed for this composition   0 meV per atom
Magnetic moment   0.0 μB/f.u.

---

(9)
The following is a DFT calculation (GGA-PBE) of an optimized crystal structure of BeAgTeN2.

Cell lengths 3.7687, 3.7687, 5.7103 Å; angles 90.00, 90.00, 90.00 degrees
Closest atoms and distances in Å follow each position.
Positions (direct):
Be 0.0000 0.0000 0.0000  4 N 1.88
Te 0.0000 0.0000 0.5000  4 Ag 2.66, 2 Be 2.86
Ag 0.5000 0.5000 0.5000  4 Te 2.66
N 0.0000 0.5000 0.0000  2 Be 1.88
N 0.5000 0.0000 0.0000  2 Be 1.88

Results
E_tot   -3.961 eV/atom
ΔE_f (raw)   1.31 eV per atom
Mass density   5.6 g cm⁻³
Energy relative to the lowest polymorph listed for this composition   0 meV per atom
Magnetic moment   3.0 μB/f.u.

---

(10)
The following is a DFT calculation (GGA-PBE) of an optimized crystal structure of BeAg2WN.

Cell lengths 5.0352, 4.4007, 5.0352 Å; angles 90.00, 90.00, 90.00 degrees
Closest atoms and distances in Å follow each position.
Positions (direct):
Be 0.0000 0.5000 0.0000  2 W 2.20
Ag 0.0000 0.0000 0.5000  2 W 2.52
Ag 0.5000 0.0000 0.0000  2 W 2.52
W 0.0000 0.0000 0.0000  2 Be 2.20
N 0.5000 0.5000 0.5000  8 Ag 3.34, 4 Be 3.56

Results
E_tot   -3.248 eV/atom
ΔE_f (raw)   2.89 eV per atom
Mass density   6.3 g cm⁻³
Magnetic moment   0.0 μB/f.u.

---

(11)
The following is a DFT calculation (GGA-PBE) of an optimized crystal structure of Y2BeAgN.

Cell lengths 5.0407, 5.0407, 3.4409 Å; angles 90.00, 90.00, 90.00 degrees
Closest atoms and distances in Å follow each position.
Positions (direct):
Y 0.0000 0.5000 0.0000  2 N 2.52
Y 0.5000 0.0000 0.0000  2 N 2.52
Be 0.0000 0.0000 0.5000  2 N 1.72
Ag 0.5000 0.5000 0.5000  8 Y 3.05
N 0.0000 0.0000 0.0000  2 Be 1.72

Results
E_tot   -6.199 eV/atom
ΔE_f (raw)   -0.63 eV per atom
Mass density   5.9 g cm⁻³
Magnetic moment   0.0 μB/f.u.

---

(12)
The following is a DFT calculation (GGA-PBE) of an optimized crystal structure of BeZnAgN2.

Cell lengths 3.8959, 4.3246, 3.8959 Å; angles 90.00, 90.00, 90.00 degrees
Closest atoms and distances in Å follow each position.
Positions (direct):
Be 0.0000 0.5000 0.0000  2 Zn 2.16
Zn 0.0000 0.0000 0.0000  4 N 1.95, 2 Be 2.16
Ag 0.5000 0.5000 0.5000  4 Be 2.75, 8 N 2.91
N 0.0000 0.0000 0.5000  2 Zn 1.95
N 0.5000 0.0000 0.0000  2 Zn 1.95

Results
E_tot   -3.213 eV/atom
ΔE_f (raw)   1.69 eV per atom
Mass density   5.3 g cm⁻³
Magnetic moment   1.1 μB/f.u.

---

(13)
The following is a DFT calculation (GGA-PBE) of an optimized crystal structure of NaBeAg.

Cell lengths 6.4197, 3.3764, 10.7708 Å; angles 90.00, 102.12, 90.00 degrees
Closest atoms and distances in Å follow each position.
Positions (direct):
Na 0.9343 0.0000 0.7229  6 Be 2.91-3.11, 2 Na 3.21
Na 0.9343 0.5000 0.2229  6 Be 2.91-3.11, 2 Na 3.21
Na 0.4345 0.0000 0.7236  2 Ag 2.92, 2 Na 3.21
Na 0.4345 0.5000 0.2236  2 Ag 2.92, 2 Na 3.21
Ag 0.6207 0.0000 0.9951  3 Be 2.32-2.59
Ag 0.6207 0.5000 0.4951  3 Be 2.32-2.59
Ag 0.2438 0.0000 0.4522  3 Be 2.32-2.59
Ag 0.2438 0.5000 0.9522  3 Be 2.32-2.59
Be 0.8378 0.0000 0.4464  2 Be 2.08, 2 Ag 2.32
Be 0.8378 0.5000 0.9464  2 Be 2.08, 2 Ag 2.32
Be 0.0251 0.0000 0.9990  2 Be 2.08, 2 Ag 2.32
Be 0.0251 0.5000 0.4990  2 Be 2.08, 2 Ag 2.32

Results
E_tot   -2.404 eV/atom
Mass density   4.1 g cm⁻³
Energy relative to the lowest polymorph listed for this composition   51 meV per atom
Magnetic moment   0.0 μB/f.u.
Energy of formation from the pure elements   0.7 eV per formula unit

---

(14)
The following is a DFT calculation (GGA-PBE) of an optimized crystal structure of NaBeAg.

Cell lengths 2.9621, 3.6624, 10.5522 Å; angles 90.00, 90.22, 90.00 degrees
Closest atoms and distances in Å follow each position.
Positions (direct):
Na 0.1473 0.0000 0.9988  3 Be 2.81-3.07, 2 Na 2.96
Na 0.1473 0.5000 0.4988  3 Be 2.81-3.07, 2 Na 2.96
Ag 0.6319 0.0000 0.2663  4 Be 2.38
Ag 0.6319 0.5000 0.7663  4 Be 2.38
Be 0.1296 0.0000 0.7327  4 Ag 2.38
Be 0.1296 0.5000 0.2327  4 Ag 2.38

Results
E_tot   -2.386 eV/atom
Mass density   4.1 g cm⁻³
Energy relative to the lowest polymorph listed for this composition   70 meV per atom
Magnetic moment   0.0 μB/f.u.
Energy of formation from the pure elements   0.7 eV per formula unit